[1]
## YTeF3 (PBE)

Data for crystalline YTeF3 at its relaxed geometry.

abc: 4.5458 4.5458 4.5458
angles: 90.00 90.00 90.00
With the nearest neighbours (Å) after each atom.
Atoms (fractional coordinates):
Y  0.0000  0.0000  0.0000  6 F 2.27
Te  0.5000  0.5000  0.5000  12 F 3.21
F  0.0000  0.0000  0.5000  2 Y 2.27
F  0.0000  0.5000  0.0000  2 Y 2.27
F  0.5000  0.0000  0.0000  2 Y 2.27

Output
ΔE to the lowest computed polymorph, eV per atom: 0.000
Energy relative to the elements, uncorrected, kcal/mol of atoms: -62.0
Crystal system: cubic
Symmetry: Pm-3m, No. 221
Total energy, eV/cell: -28.67



[2]
## Sr2FeCo (PBE)

Data for crystalline Sr2FeCo at its relaxed geometry.

abc: 5.2359 5.2359 3.7241
angles: 90.00 90.00 90.73
With the nearest neighbours (Å) after each atom.
Atoms (fractional coordinates):
Sr  0.0000  0.5000  0.0000  4 Fe 3.21, 4 Co 3.21
Sr  0.5000  0.0000  0.0000  4 Fe 3.21, 4 Co 3.21
Fe  0.0000  0.0000  0.5000  8 Sr 3.21
Co  0.5000  0.5000  0.5000  8 Sr 3.21

Output
ΔE_f, eV/atom: 0.771
ΔE to the lowest computed polymorph, eV per atom: 0.573
Crystal system: orthorhombic
Symmetry: Cmmm, No. 65
Total energy, eV/cell: -15.85